Compound: DyEr7Tm3
Source: Alexandria
Functional: PBE-GGA
Structure: relaxed

As for the density of states at the Fermi level: 1.665 states/eV per atom. The crystal system is monoclinic. The formation energy from the elements is 0.156 eV/atom. The calculation puts the energy above the most stable polymorph in this dataset at 0.0000 eV per atom.

The structure belongs to space group P2/m (No. 10); the cell edges are 6.856, 5.442 and 9.763 Å and the angles 90.00°, 109.94° and 90.00°. The asymmetric unit holds Dy at (0.000, 0.000, 0.000), Er at (0.000, 0.000, 0.500), Er at (0.147, 0.500, 0.791), Er at (0.322, 0.500, 0.141), Er at (0.421, 0.000, 0.331), Tm at (0.277, 0.500, 0.498) and Tm at (0.500, 0.000, 0.000).